Computed, not measured: a relaxed structure of V2BiSeO at the PBE+U level of DFT.

a = 5.479 Å, b = 5.479 Å, c = 4.283 Å
α = 90.00°, β = 90.00°, γ = 90.00°
Space group P4/mmm (No. 123)
Asymmetric unit:
V: 0.000 0.500 0.000
Bi: 0.000 0.000 0.000
Se: 0.500 0.500 0.500
O: 0.000 0.000 0.500

Calculated values
The total energy comes out at -23.833 eV for the cell shown. The value obtained for the density of states at the Fermi level is 2.5 states/eV per cell. The total moment comes out at 6.11 μB/cell.